K2BiRhO4 | PBE | optimized geometry

Output
Formation energy without anion corrections   -1080 meV per atom
DFT total energy   -41.904 eV for the cell shown
M_tot   0.0 Bohr magnetons per cell
DOS at the Fermi energy   0.11 states/eV/atom

a = 3.4363 Å, b = 5.8819 Å, c = 6.4477 Å
α = 108.10°, β = 90.00°, γ = 90.00°
Fractional positions:
1 O 0.0000 0.3038 0.8231
2 O 0.0000 0.6962 0.1769
3 O 0.5000 0.7410 0.8014
4 O 0.5000 0.2590 0.1986
5 Rh 0.5000 0.5000 0.0000
6 Bi 0.0000 0.0000 0.0000
7 K 0.5000 0.0000 0.5000
8 K 0.0000 0.5000 0.5000